[1]
Here is a relaxed structure of RbUTe2 from Alexandria. Energies are from GGA-PBE.

```
data_RbUTe2
_cell_length_a 4.482
_cell_length_b 4.482
_cell_length_c 8.878
_cell_angle_alpha 90.00
_cell_angle_beta 90.00
_cell_angle_gamma 60.00
_symmetry_space_group_name_H-M 'P 1'
_symmetry_Int_Tables_number 1
loop_
_symmetry_equiv_pos_as_xyz
'x,y,z'
loop_
_atom_site_label
_atom_site_fract_x
_atom_site_fract_y
_atom_site_fract_z
Rb1 0.000 0.000 0.500
U1 0.000 0.000 0.000
Te1 0.667 0.667 0.202
Te2 0.333 0.333 0.798
```

For the density of states at the Fermi level, the calculation gives 6.42 states/eV/cell. Its formation energy from raw total energies is -3.2 eV/f.u. The total magnetization comes out at 3.000 μB per formula unit. The calculated volume is 38.62 A^3/atom.



[2]
Here is a relaxed structure of Cs2NdMg2Se4 from Alexandria. Energies are from GGA-PBE.

```
data_Cs2NdMg2Se4
_cell_length_a 4.326
_cell_length_b 8.627
_cell_length_c 8.534
_cell_angle_alpha 107.15
_cell_angle_beta 104.68
_cell_angle_gamma 90.00
_symmetry_space_group_name_H-M 'P 1'
_symmetry_Int_Tables_number 1
loop_
_symmetry_equiv_pos_as_xyz
'x,y,z'
loop_
_atom_site_label
_atom_site_fract_x
_atom_site_fract_y
_atom_site_fract_z
Cs1 0.127 0.538 0.254
Cs2 0.873 0.462 0.746
Nd1 0.000 0.000 0.000
Mg1 0.672 0.976 0.343
Mg2 0.328 0.024 0.657
Se1 0.201 0.157 0.402
Se2 0.799 0.843 0.598
Se3 0.524 0.769 0.048
Se4 0.476 0.231 0.952
```

For the density of states at the Fermi level, the calculation gives 3.76 states/eV/cell. Its formation energy from raw total energies is -11.9 eV/f.u. The total magnetization comes out at 0.698 μB per formula unit. The calculated volume is 32.60 A^3/atom.



[3]
Here is a relaxed structure of Pm7ZnSn2 from Alexandria. Energies are from GGA-PBE.

```
data_Pm7ZnSn2
_cell_length_a 5.299
_cell_length_b 5.299
_cell_length_c 13.048
_cell_angle_alpha 90.00
_cell_angle_beta 90.00
_cell_angle_gamma 120.00
_symmetry_space_group_name_H-M 'P 1'
_symmetry_Int_Tables_number 1
loop_
_symmetry_equiv_pos_as_xyz
'x,y,z'
loop_
_atom_site_label
_atom_site_fract_x
_atom_site_fract_y
_atom_site_fract_z
Pm1 0.667 0.333 0.591
Pm2 0.667 0.333 0.852
Pm3 0.000 0.000 0.750
Pm4 0.000 0.000 0.254
Pm5 0.333 0.667 0.431
Pm6 0.333 0.667 0.985
Pm7 0.667 0.333 0.109
Zn1 0.000 0.000 0.999
Sn1 0.333 0.667 0.694
Sn2 0.667 0.333 0.351
```

The value obtained for the energy of formation is -249.7 meV per atom. For the density of states at the Fermi level, the calculation gives 13.05 states/eV/cell. The total magnetization comes out at 0.004 μB per formula unit. The calculated volume is 31.73 A^3/atom.



[4]
Here is a relaxed structure of Ac2TiPtO6 from Alexandria. Energies are from GGA-PBE.

```
data_Ac2TiPtO6
_cell_length_a 5.440
_cell_length_b 5.899
_cell_length_c 9.014
_cell_angle_alpha 90.00
_cell_angle_beta 90.00
_cell_angle_gamma 90.00
_symmetry_space_group_name_H-M 'P 1'
_symmetry_Int_Tables_number 1
loop_
_symmetry_equiv_pos_as_xyz
'x,y,z'
loop_
_atom_site_label
_atom_site_fract_x
_atom_site_fract_y
_atom_site_fract_z
Ac1 0.500 0.764 0.267
Ac2 0.000 0.236 0.767
Ac3 0.500 0.764 0.733
Ac4 0.000 0.236 0.233
Ti1 0.500 0.203 0.500
Ti2 0.000 0.797 0.000
Pt1 0.000 0.670 0.500
Pt2 0.500 0.330 0.000
O1 0.500 0.163 0.286
O2 0.500 0.163 0.714
O3 0.000 0.837 0.214
O4 0.000 0.837 0.786
O5 0.264 0.911 0.500
O6 0.736 0.911 0.500
O7 0.247 0.415 0.500
O8 0.753 0.415 0.500
O9 0.747 0.585 0.000
O10 0.253 0.585 0.000
O11 0.236 0.089 0.000
O12 0.764 0.089 0.000
```

Its formation energy from raw total energies is -25.6 eV/f.u. The total magnetization comes out at 0.000 μB per formula unit. The calculated volume is 14.46 A^3/atom.



[5]
Here is a relaxed structure of Ru5C3 from Alexandria. Energies are from GGA-PBE.

```
data_Ru5C3
_cell_length_a 6.563
_cell_length_b 6.563
_cell_length_c 5.798
_cell_angle_alpha 97.27
_cell_angle_beta 97.27
_cell_angle_gamma 125.81
_symmetry_space_group_name_H-M 'P 1'
_symmetry_Int_Tables_number 1
loop_
_symmetry_equiv_pos_as_xyz
'x,y,z'
loop_
_atom_site_label
_atom_site_fract_x
_atom_site_fract_y
_atom_site_fract_z
Ru1 0.756 0.256 0.541
Ru2 0.285 0.785 0.481
Ru3 0.704 0.900 0.759
Ru4 0.335 0.138 0.250
Ru5 0.774 0.507 0.175
Ru6 0.260 0.516 0.849
Ru7 0.638 0.835 0.250
Ru8 0.400 0.204 0.759
Ru9 0.016 0.760 0.849
Ru10 0.007 0.274 0.175
C1 0.126 0.141 0.938
C2 0.641 0.626 0.938
C3 0.316 0.816 0.138
C4 0.698 0.198 0.873
C5 0.148 0.396 0.509
C6 0.896 0.648 0.509
```

The value obtained for the offset from the most stable computed form is 0.00 eV per formula unit. The value obtained for the energy of formation is 645.9 meV per atom. For the density of states at the Fermi level, the calculation gives 10.69 states/eV/cell. The total magnetization comes out at 0.000 μB per formula unit. The calculated volume is 12.16 A^3/atom.



[6]
Here is a relaxed structure of SmYEr5Sc2 from Alexandria. Energies are from GGA-PBE.

```
data_SmYEr5Sc2
_cell_length_a 5.556
_cell_length_b 11.062
_cell_length_c 9.261
_cell_angle_alpha 90.00
_cell_angle_beta 90.00
_cell_angle_gamma 104.54
_symmetry_space_group_name_H-M 'P 1'
_symmetry_Int_Tables_number 1
loop_
_symmetry_equiv_pos_as_xyz
'x,y,z'
loop_
_atom_site_label
_atom_site_fract_x
_atom_site_fract_y
_atom_site_fract_z
Sm1 0.814 0.628 0.517
Sm2 0.186 0.372 0.017
Y1 0.597 0.194 0.919
Y2 0.403 0.806 0.419
Er1 0.392 0.784 0.046
Er2 0.736 0.471 0.836
Er3 0.468 0.937 0.749
Er4 0.308 0.616 0.721
Er5 0.992 0.984 0.520
Er6 0.608 0.216 0.546
Er7 0.264 0.529 0.336
Er8 0.532 0.063 0.249
Er9 0.692 0.384 0.221
Er10 0.008 0.016 0.020
Sc1 0.887 0.774 0.823
Sc2 0.141 0.282 0.694
Sc3 0.113 0.226 0.323
Sc4 0.859 0.718 0.194
```

The value obtained for the energy of formation is 173.8 meV per atom. For the density of states at the Fermi level, the calculation gives 27.43 states/eV/cell. The total magnetization comes out at 0.001 μB per formula unit. The calculated volume is 30.61 A^3/atom.



[7]
Here is a relaxed structure of BaCd2Hg3 from Alexandria. Energies are from GGA-PBE.

```
data_BaCd2Hg3
_cell_length_a 6.509
_cell_length_b 7.319
_cell_length_c 7.319
_cell_angle_alpha 99.24
_cell_angle_beta 90.00
_cell_angle_gamma 90.00
_symmetry_space_group_name_H-M 'P 1'
_symmetry_Int_Tables_number 1
loop_
_symmetry_equiv_pos_as_xyz
'x,y,z'
loop_
_atom_site_label
_atom_site_fract_x
_atom_site_fract_y
_atom_site_fract_z
Ba1 0.250 0.321 0.321
Ba2 0.750 0.679 0.679
Cd1 0.500 0.782 0.218
Cd2 0.000 0.782 0.218
Cd3 0.000 0.218 0.782
Cd4 0.500 0.218 0.782
Hg1 0.750 0.451 0.146
Hg2 0.750 0.146 0.451
Hg3 0.250 0.549 0.854
Hg4 0.750 0.046 0.046
Hg5 0.250 0.954 0.954
Hg6 0.250 0.854 0.549
```

The value obtained for the offset from the most stable computed form is 0.10 eV per formula unit. The value obtained for the energy of formation is -261.1 meV per atom. For the density of states at the Fermi level, the calculation gives 5.54 states/eV/cell. The total magnetization comes out at 0.000 μB per formula unit. The calculated volume is 28.68 A^3/atom.



[8]
Here is a relaxed structure of Sm3Dy5S12 from Alexandria. Energies are from GGA-PBE.

```
data_Sm3Dy5S12
_cell_length_a 14.015
_cell_length_b 14.015
_cell_length_c 14.015
_cell_angle_alpha 109.47
_cell_angle_beta 109.47
_cell_angle_gamma 109.47
_symmetry_space_group_name_H-M 'P 1'
_symmetry_Int_Tables_number 1
loop_
_symmetry_equiv_pos_as_xyz
'x,y,z'
loop_
_atom_site_label
_atom_site_fract_x
_atom_site_fract_y
_atom_site_fract_z
S1 0.631 0.047 0.222
S2 0.591 0.722 0.674
S3 0.778 0.453 0.369
S4 0.722 0.131 0.047
S5 0.583 0.631 0.409
S6 0.778 0.326 0.909
S7 0.591 0.869 0.417
S8 0.826 0.917 0.047
S9 0.326 0.778 0.409
S10 0.631 0.583 0.909
S11 0.869 0.278 0.453
S12 0.091 0.174 0.222
S13 0.047 0.631 0.722
S14 0.453 0.674 0.083
S15 0.083 0.174 0.453
S16 0.417 0.047 0.326
S17 0.083 0.909 0.131
S18 0.278 0.409 0.826
S19 0.091 0.917 0.369
S20 0.047 0.417 0.826
S21 0.453 0.778 0.869
S22 0.326 0.547 0.417
S23 0.174 0.091 0.722
S24 0.869 0.591 0.917
S25 0.674 0.453 0.583
S26 0.826 0.909 0.278
S27 0.131 0.409 0.083
S28 0.909 0.083 0.631
S29 0.547 0.222 0.131
S30 0.953 0.583 0.174
S31 0.722 0.591 0.174
S32 0.583 0.953 0.674
S33 0.917 0.091 0.869
S34 0.917 0.826 0.547
S35 0.953 0.369 0.278
S36 0.909 0.826 0.778
S37 0.547 0.326 0.917
S38 0.674 0.222 0.591
S39 0.369 0.417 0.091
S40 0.131 0.722 0.547
S41 0.174 0.083 0.953
S42 0.409 0.131 0.583
S43 0.278 0.869 0.953
S44 0.222 0.674 0.091
S45 0.417 0.369 0.591
S46 0.222 0.547 0.631
S47 0.409 0.278 0.326
S48 0.369 0.953 0.778
Sm1 0.750 0.375 0.125
Sm2 0.875 0.750 0.125
Sm3 0.375 0.750 0.625
Sm4 0.250 0.125 0.375
Sm5 0.875 0.125 0.250
Sm6 0.375 0.625 0.250
Sm7 0.625 0.375 0.750
Sm8 0.125 0.875 0.750
Sm9 0.750 0.875 0.625
Sm10 0.625 0.250 0.375
Sm11 0.125 0.250 0.875
Sm12 0.250 0.625 0.875
Dy1 0.125 0.375 0.250
Dy2 0.000 0.500 0.000
Dy3 0.000 0.000 0.000
Dy4 0.375 0.250 0.125
Dy5 0.500 0.000 0.500
Dy6 0.500 0.500 0.000
Dy7 0.125 0.750 0.375
Dy8 0.750 0.125 0.875
Dy9 0.750 0.625 0.375
Dy10 0.375 0.125 0.750
Dy11 0.625 0.875 0.250
Dy12 0.500 0.500 0.500
Dy13 0.500 0.000 0.000
Dy14 0.000 0.000 0.500
Dy15 0.250 0.375 0.625
Dy16 0.250 0.875 0.125
Dy17 0.000 0.500 0.500
Dy18 0.875 0.250 0.625
Dy19 0.625 0.750 0.875
Dy20 0.875 0.625 0.750
```

For the density of states at the Fermi level, the calculation gives 0.00 states/eV/cell. Its formation energy from raw total energies is -37.9 eV/f.u. The total magnetization comes out at 0.000 μB per formula unit. The calculated volume is 26.49 A^3/atom.



[9]
Here is a relaxed structure of KZn2Tc from Alexandria. Energies are from GGA-PBE.

```
data_KZn2Tc
_cell_length_a 4.850
_cell_length_b 4.850
_cell_length_c 4.850
_cell_angle_alpha 60.00
_cell_angle_beta 60.00
_cell_angle_gamma 60.00
_symmetry_space_group_name_H-M 'P 1'
_symmetry_Int_Tables_number 1
loop_
_symmetry_equiv_pos_as_xyz
'x,y,z'
loop_
_atom_site_label
_atom_site_fract_x
_atom_site_fract_y
_atom_site_fract_z
K1 0.000 0.000 0.000
Zn1 0.250 0.250 0.250
Zn2 0.750 0.750 0.750
Tc1 0.500 0.500 0.500
```

The value obtained for the offset from the most stable computed form is 1.92 eV per formula unit. The value obtained for the energy of formation is 868.2 meV per atom. For the density of states at the Fermi level, the calculation gives 2.17 states/eV/cell. The total magnetization comes out at 2.258 μB per formula unit. The calculated volume is 20.17 A^3/atom.



Uncorrected energy: -5.45; -3.95; -4.50; -7.75; -8.61; -5.01; -1.04; -6.23; -2.63 (eV per atom)